Density functional theory data (GGA-PBEsol) for Zr2AlPtPb after structural relaxation.

Computed properties:
E_form, eV per atom: 0.404
SG: P4/mmm
DOS(E_F), states/eV/f.u.: 2.88

abc: 5.095 5.095 5.026
angles: 90.00 90.00 90.00
Atoms (fractional coordinates):
Zr: 0.000 0.500 0.000
Zr: 0.500 0.000 0.000
Al: 0.000 0.000 0.500
Pt: 0.500 0.500 0.000
Pb: 0.500 0.500 0.500